[1]
A crystal of AlV12Sn3 relaxed with PBEsol. Source: Alexandria via LeMat-Bulk, functional meta-GGA SCAN.

a b c (Å): 4.860 4.880 9.697
angles (deg): 90.00 90.00 90.00
Element x y z (fractional)
1 Al 0.000 0.000 0.000
2 V 0.000 0.244 0.241
3 V 0.000 0.244 0.759
4 V 0.000 0.756 0.241
5 V 0.000 0.756 0.759
6 V 0.230 0.500 0.000
7 V 0.253 0.500 0.500
8 V 0.500 0.000 0.118
9 V 0.500 0.000 0.373
10 V 0.500 0.000 0.627
11 V 0.500 0.000 0.882
12 V 0.747 0.500 0.500
13 V 0.770 0.500 0.000
14 Sn 0.000 0.000 0.500
15 Sn 0.500 0.500 0.248
16 Sn 0.500 0.500 0.752

Spin magnetization ... 0.000 μB/atom
Crystal system ... orthorhombic
DOS at the Fermi energy ... 1.631 states/eV per atom
V ... 14.37 Å³/atom
Energy of formation from the pure elements ... -0.138 eV per atom


[2]
A crystal of LiMnPt2 relaxed with PBEsol. Source: Alexandria via LeMat-Bulk, functional meta-GGA SCAN.

a b c (Å): 5.984 5.984 5.984
angles (deg): 90.00 90.00 90.00
Element x y z (fractional)
1 Li 0.000 0.000 0.000
2 Li 0.000 0.500 0.500
3 Li 0.500 0.000 0.500
4 Li 0.500 0.500 0.000
5 Mn 0.000 0.000 0.500
6 Mn 0.000 0.500 0.000
7 Mn 0.500 0.000 0.000
8 Mn 0.500 0.500 0.500
9 Pt 0.250 0.250 0.250
10 Pt 0.250 0.250 0.750
11 Pt 0.250 0.750 0.250
12 Pt 0.250 0.750 0.750
13 Pt 0.750 0.250 0.250
14 Pt 0.750 0.250 0.750
15 Pt 0.750 0.750 0.250
16 Pt 0.750 0.750 0.750

Relative energy among the computed polymorphs ... 0.012 eV/atom
Spin magnetization ... 1.124 μB/atom
Crystal system ... cubic
DOS at the Fermi energy ... 0.337 states/eV per atom
V ... 13.39 Å³/atom
Energy of formation from the pure elements ... -0.730 eV per atom